VASP calculation (PBE with a Hubbard U) on crystalline Sr3Ni2O6 at its relaxed geometry.

Properties
**VASP energy**: -5.498 eV/atom

Cell: 3.8514 3.8514 10.5631 Å, 100.50 100.50 90.00°
Closest atoms and distances in Å follow each position.
Element x y z (fractional)
O (0.4154, 0.9154, 0.8308)  2 Ni 1.96
O (0.3026, 0.3026, 0.6052)  1 Ni 1.95
O (0.0846, 0.5846, 0.1692)  2 Ni 1.96
O (0.5846, 0.0846, 0.1692)  2 Ni 1.96
O (0.6974, 0.6974, 0.3948)  1 Ni 1.95
O (0.9154, 0.4154, 0.8308)  2 Ni 1.96
Sr (0.1818, 0.1818, 0.3636)  5 O 2.47-2.74
Sr (0.8182, 0.8182, 0.6364)  5 O 2.47-2.74
Sr (0.0000, 0.0000, 0.0000)  8 O 2.59
Ni (0.6020, 0.6020, 0.2039)  5 O 1.95-1.96
Ni (0.3980, 0.3980, 0.7961)  5 O 1.95-1.96